Be2AuI | PBE | optimized geometry

Cell and atoms, written as extended XYZ:
```
8
Lattice="5.886 0.000 0.000 0.000 5.886 0.000 2.943 2.943 4.817" Properties=species:S:1:pos:R:3 pbc="T T T"
Be 1.243 4.415 1.204
Be 4.644 1.472 1.204
Be 4.415 4.186 3.612
Be 7.358 7.587 3.612
Au 0.000 0.000 0.000
Au 5.886 2.943 2.408
I 2.943 5.886 2.408
I 2.943 2.943 0.000
```

Values from the calculation:
Magnetic moment (μB per formula unit): 0.00
Space-group type: I-42d
Mass density (Mg/m³): 6.8
Energy relative to the elements, uncorrected (eV per atom): 0.36